The following is a DFT calculation (PBE with a Hubbard U) of K3Re2NiO9 after structural relaxation.

Computed properties:
energy = -99.8 eV per cell
space group = No. 164

Cell and atoms, written as POSCAR:
```
K3Re2NiO9
1.0
5.613 0.000 0.000
-2.807 4.861 0.000
0.000 0.000 6.916
K Re Ni O
3 2 1 9
Direct
0.000 0.000 0.000
0.333 0.667 0.664
0.667 0.333 0.336
0.333 0.667 0.174
0.667 0.333 0.826
0.000 0.000 0.500
0.000 0.500 0.000
0.174 0.347 0.319
0.174 0.826 0.319
0.347 0.174 0.681
0.500 0.000 0.000
0.500 0.500 0.000
0.653 0.826 0.319
0.826 0.174 0.681
0.826 0.653 0.681
```